Be2OsS: optimized geometry, PBE-GGA.

Output
**M_tot**: 0.0 μB per cell

```
data_Be2OsS
_symmetry_space_group_name_H-M 'I -4 2 d'
_symmetry_Int_Tables_number 122
_symmetry_space_group_name_Hall 'I -4 2bw'
_cell_length_a 6.081
_cell_length_b 6.081
_cell_length_c 5.087
_cell_angle_alpha 90.00
_cell_angle_beta 90.00
_cell_angle_gamma 90.00
loop_
_atom_site_label
_atom_site_fract_x
_atom_site_fract_y
_atom_site_fract_z
Be1 0.206 0.250 0.125
Os1 0.000 0.000 0.500
S1 0.000 0.000 0.000
```


BeOsS3: optimized geometry, PBE-GGA.

Output
**M_tot**: 0.0 μB per cell
**ΔE to the lowest computed polymorph**: 0 meV per atom

```
data_BeOsS3
_symmetry_space_group_name_H-M 'P m -3 m'
_symmetry_Int_Tables_number 221
_symmetry_space_group_name_Hall '-P 4 2 3'
_cell_length_a 4.141
_cell_length_b 4.141
_cell_length_c 4.141
_cell_angle_alpha 90.00
_cell_angle_beta 90.00
_cell_angle_gamma 90.00
loop_
_atom_site_label
_atom_site_fract_x
_atom_site_fract_y
_atom_site_fract_z
Be1 0.000 0.000 0.000
Os1 0.500 0.500 0.500
S1 0.000 0.000 0.500
```


Be3OsS: optimized geometry, PBE-GGA.

Output
**M_tot**: 0.0 μB per cell
**ΔE to the lowest computed polymorph**: 141 meV per atom

```
data_Be3OsS
_symmetry_space_group_name_H-M 'P m -3 m'
_symmetry_Int_Tables_number 221
_symmetry_space_group_name_Hall '-P 4 2 3'
_cell_length_a 4.228
_cell_length_b 4.228
_cell_length_c 4.228
_cell_angle_alpha 90.00
_cell_angle_beta 90.00
_cell_angle_gamma 90.00
loop_
_atom_site_label
_atom_site_fract_x
_atom_site_fract_y
_atom_site_fract_z
Be1 0.000 0.000 0.500
Os1 0.000 0.000 0.000
S1 0.500 0.500 0.500
```


ScBeOs2S: optimized geometry, PBE-GGA.

Output
**M_tot**: 2.8 μB per cell

```
data_ScBeOs2S
_symmetry_space_group_name_H-M 'P 4/m m m'
_symmetry_Int_Tables_number 123
_symmetry_space_group_name_Hall '-P 4 2'
_cell_length_a 4.786
_cell_length_b 4.786
_cell_length_c 4.628
_cell_angle_alpha 90.00
_cell_angle_beta 90.00
_cell_angle_gamma 90.00
loop_
_atom_site_label
_atom_site_fract_x
_atom_site_fract_y
_atom_site_fract_z
Sc1 0.000 0.000 0.000
Be1 0.500 0.500 0.500
Os1 0.000 0.500 0.000
S1 0.000 0.000 0.500
```


YBeOs2S: optimized geometry, PBE-GGA.

Output
**M_tot**: 0.1 μB per cell

```
data_YBeOs2S
_symmetry_space_group_name_H-M 'P 4/m m m'
_symmetry_Int_Tables_number 123
_symmetry_space_group_name_Hall '-P 4 2'
_cell_length_a 4.223
_cell_length_b 4.223
_cell_length_c 4.612
_cell_angle_alpha 90.00
_cell_angle_beta 90.00
_cell_angle_gamma 90.00
loop_
_atom_site_label
_atom_site_fract_x
_atom_site_fract_y
_atom_site_fract_z
Y1 0.000 0.000 0.000
Be1 0.500 0.500 0.500
Os1 0.000 0.500 0.500
S1 0.500 0.500 0.000
```


BeSb2Os: optimized geometry, PBE-GGA.

Output
**M_tot**: 0.0 μB per cell

```
data_BeSb2Os
_symmetry_space_group_name_H-M 'C 1 2/m 1'
_symmetry_Int_Tables_number 12
_cell_length_a 8.137
_cell_length_b 3.408
_cell_length_c 5.510
_cell_angle_alpha 90.00
_cell_angle_beta 94.57
_cell_angle_gamma 90.00
loop_
_symmetry_equiv_pos_as_xyz
'x,y,z'
'-x,-y,-z'
'-x,y,-z'
'x,-y,z'
'x+1/2,y+1/2,z'
'-x+1/2,-y+1/2,-z'
'-x+1/2,y+1/2,-z'
'x+1/2,-y+1/2,z'
loop_
_atom_site_label
_atom_site_fract_x
_atom_site_fract_y
_atom_site_fract_z
Be1 0.000 0.000 0.000
Sb1 0.222 0.000 0.742
Os1 0.000 0.500 0.500
```


Final energy: -5.314; -4.542; -4.305; -5.281; -6.898; -5.213 (eV per atom)
E_form (uncorrected): 1.6; 4.6; 5.0; 10.2; 2.3; 2.3 (eV per formula unit)